Entry 1:
The following is a GGA-PBE calculation of a relaxed BPdSe3 crystal, from the Alexandria database.

Computed properties:
M_tot = 0.00 μB/f.u.
crystal system = cubic
DOS at the Fermi energy = 6.309 states/eV/cell
offset from the most stable computed form = 1332 meV per atom

Cell lengths 4.953, 4.953, 4.953 Å; angles 90.00, 90.00, 90.00 degrees
Element x y z (fractional)
1 B 0.000 0.000 0.000
2 Pd 0.500 0.500 0.500
3 Se 0.000 0.500 0.500
4 Se 0.500 0.000 0.500
5 Se 0.500 0.500 0.000

Entry 2:
The following is a GGA-PBE calculation of a relaxed RbTh2H8 crystal, from the Alexandria database.

Computed properties:
M_tot = 0.00 μB/f.u.
crystal system = monoclinic
E = -4.143 eV/atom
DOS at the Fermi energy = 1.619 states/eV/cell

Cell lengths 6.622, 6.622, 4.203 Å; angles 94.91, 94.91, 115.05 degrees
Element x y z (fractional)
1 Rb 0.000 0.000 0.000
2 Th 0.323 0.677 0.500
3 Th 0.677 0.323 0.500
4 H 0.027 0.336 0.527
5 H 0.257 0.743 0.000
6 H 0.336 0.027 0.527
7 H 0.403 0.403 0.242
8 H 0.597 0.597 0.758
9 H 0.664 0.973 0.473
10 H 0.743 0.257 0.000
11 H 0.973 0.664 0.473

Entry 3:
The following is a GGA-PBE calculation of a relaxed LaIn2Sb crystal, from the Alexandria database.

Computed properties:
M_tot = 0.00 μB/f.u.
crystal system = tetragonal
DOS at the Fermi energy = 2.662 states/eV/cell
offset from the most stable computed form = 0 meV per atom

Cell lengths 4.674, 4.674, 5.122 Å; angles 90.00, 90.00, 90.00 degrees
Element x y z (fractional)
1 La 0.000 0.000 0.000
2 In 0.000 0.500 0.500
3 In 0.500 0.000 0.500
4 Sb 0.500 0.500 0.000

Entry 4:
The following is a GGA-PBE calculation of a relaxed Ce2HgAu crystal, from the Alexandria database.

Computed properties:
M_tot = 2.06 μB/f.u.
crystal system = tetragonal
DOS at the Fermi energy = 11.689 states/eV/cell
offset from the most stable computed form = 20 meV per atom

Cell lengths 4.810, 4.810, 4.376 Å; angles 90.00, 90.00, 90.00 degrees
Element x y z (fractional)
1 Ce 0.000 0.500 0.000
2 Ce 0.500 0.000 0.000
3 Hg 0.000 0.000 0.500
4 Au 0.500 0.500 0.500

Entry 5:
The following is a GGA-PBE calculation of a relaxed Pa2TaZn16 crystal, from the Alexandria database.

Computed properties:
M_tot = 0.17 μB/f.u.
crystal system = trigonal
E = -2.749 eV/atom
DOS at the Fermi energy = 13.929 states/eV/cell

Cell lengths 6.821, 6.821, 6.821 Å; angles 82.82, 82.82, 82.82 degrees
Element x y z (fractional)
1 Pa 0.000 0.000 0.000
2 Pa 0.330 0.330 0.330
3 Ta 0.554 0.554 0.554
4 Zn 0.016 0.016 0.489
5 Zn 0.016 0.489 0.016
6 Zn 0.151 0.659 0.659
7 Zn 0.300 0.300 0.805
8 Zn 0.300 0.805 0.300
9 Zn 0.364 0.656 0.946
10 Zn 0.364 0.946 0.656
11 Zn 0.489 0.016 0.016
12 Zn 0.656 0.364 0.946
13 Zn 0.656 0.946 0.364
14 Zn 0.659 0.151 0.659
15 Zn 0.659 0.659 0.151
16 Zn 0.766 0.766 0.766
17 Zn 0.805 0.300 0.300
18 Zn 0.946 0.364 0.656
19 Zn 0.946 0.656 0.364

Entry 6:
The following is a GGA-PBE calculation of a relaxed Ca2DyCdS4 crystal, from the Alexandria database.

Computed properties:
M_tot = 0.00 μB/f.u.
crystal system = monoclinic
E = -4.911 eV/atom
DOS at the Fermi energy = 3.073 states/eV/cell

Cell lengths 6.807, 3.968, 7.086 Å; angles 90.00, 109.88, 90.00 degrees
Element x y z (fractional)
1 Ca 0.000 0.000 0.000
2 Ca 0.000 0.500 0.500
3 Dy 0.500 0.000 0.500
4 Cd 0.500 0.500 0.000
5 S 0.255 0.500 0.257
6 S 0.261 0.000 0.746
7 S 0.739 0.000 0.254
8 S 0.745 0.500 0.743

Entry 7:
The following is a GGA-PBE calculation of a relaxed PmScTeS crystal, from the Alexandria database.

Computed properties:
M_tot = 0.00 μB/f.u.
crystal system = trigonal
E = -6.074 eV/atom
DOS at the Fermi energy = 2.224 states/eV/cell

Cell lengths 7.739, 7.739, 7.739 Å; angles 29.27, 29.27, 29.27 degrees
Element x y z (fractional)
1 Pm 0.000 0.000 0.000
2 Sc 0.152 0.152 0.152
3 Te 0.567 0.567 0.567
4 S 0.751 0.751 0.751

Entry 8:
The following is a GGA-PBE calculation of a relaxed Eu2YSc crystal, from the Alexandria database.

Computed properties:
M_tot = 14.43 μB/f.u.
crystal system = cubic
DOS at the Fermi energy = 5.612 states/eV/cell
offset from the most stable computed form = 38 meV per atom

Cell lengths 5.729, 5.729, 5.729 Å; angles 60.00, 60.00, 60.00 degrees
Element x y z (fractional)
1 Eu 0.250 0.250 0.250
2 Eu 0.750 0.750 0.750
3 Y 0.000 0.000 0.000
4 Sc 0.500 0.500 0.500

Entry 9:
The following is a GGA-PBE calculation of a relaxed CoSiRh2 crystal, from the Alexandria database.

Computed properties:
M_tot = 1.87 μB/f.u.
crystal system = orthorhombic
E = -7.164 eV/atom
DOS at the Fermi energy = 3.494 states/eV/cell

Cell lengths 3.840, 5.046, 5.046 Å; angles 31.74, 90.00, 90.00 degrees
Element x y z (fractional)
1 Co 0.000 0.000 0.000
2 Si 0.500 0.859 0.859
3 Rh 0.000 0.268 0.268
4 Rh 0.500 0.600 0.600

Entry 10:
The following is a GGA-PBE calculation of a relaxed KSb4Pt5 crystal, from the Alexandria database.

Computed properties:
M_tot = 0.00 μB/f.u.
crystal system = orthorhombic
E = -5.105 eV/atom
DOS at the Fermi energy = 9.988 states/eV/cell

Cell lengths 7.868, 12.601, 4.571 Å; angles 90.00, 90.00, 90.00 degrees
Element x y z (fractional)
1 K 0.250 0.250 0.010
2 K 0.750 0.750 0.990
3 Sb 0.052 0.750 0.474
4 Sb 0.250 0.521 0.235
5 Sb 0.250 0.979 0.235
6 Sb 0.448 0.750 0.474
7 Sb 0.552 0.250 0.526
8 Sb 0.750 0.021 0.765
9 Sb 0.750 0.479 0.765
10 Sb 0.948 0.250 0.526
11 Pt 0.061 0.563 0.744
12 Pt 0.061 0.937 0.744
13 Pt 0.250 0.750 0.980
14 Pt 0.439 0.563 0.744
15 Pt 0.439 0.937 0.744
16 Pt 0.561 0.063 0.256
17 Pt 0.561 0.437 0.256
18 Pt 0.750 0.250 0.020
19 Pt 0.939 0.063 0.256
20 Pt 0.939 0.437 0.256

Entry 11:
The following is a GGA-PBE calculation of a relaxed VTc2SnRh crystal, from the Alexandria database.

Computed properties:
M_tot = 0.46 μB/f.u.
crystal system = tetragonal
E = -6.591 eV/atom
DOS at the Fermi energy = 9.113 states/eV/cell

Cell lengths 4.650, 4.650, 4.853 Å; angles 90.00, 90.00, 90.00 degrees
Element x y z (fractional)
1 V 0.000 0.000 0.000
2 Tc 0.000 0.500 0.500
3 Tc 0.500 0.000 0.500
4 Sn 0.500 0.500 0.000
5 Rh 0.500 0.500 0.500

Entry 12:
The following is a GGA-PBE calculation of a relaxed TbGe2Bi crystal, from the Alexandria database.

Computed properties:
M_tot = 0.00 μB/f.u.
crystal system = tetragonal
DOS at the Fermi energy = 2.118 states/eV/cell
offset from the most stable computed form = 0 meV per atom

Cell lengths 4.784, 4.784, 4.164 Å; angles 90.00, 90.00, 90.00 degrees
Element x y z (fractional)
1 Tb 0.000 0.000 0.000
2 Ge 0.000 0.500 0.500
3 Ge 0.500 0.000 0.500
4 Bi 0.500 0.500 0.000

Entry 13:
The following is a GGA-PBE calculation of a relaxed LiCr2Ni crystal, from the Alexandria database.

Computed properties:
M_tot = 0.00 μB/f.u.
crystal system = tetragonal
DOS at the Fermi energy = 9.573 states/eV/cell
offset from the most stable computed form = 561 meV per atom

Cell lengths 5.159, 5.159, 5.159 Å; angles 101.11, 101.11, 127.92 degrees
Element x y z (fractional)
1 Li 0.000 0.000 0.000
2 Li 0.750 0.250 0.500
3 Cr 0.145 0.625 0.020
4 Cr 0.375 0.395 0.520
5 Cr 0.605 0.125 0.980
6 Cr 0.875 0.855 0.480
7 Ni 0.250 0.750 0.500
8 Ni 0.500 0.500 0.000

Entry 14:
The following is a GGA-PBE calculation of a relaxed RbNaSn3 crystal, from the Alexandria database.

Computed properties:
M_tot = 0.00 μB/f.u.
crystal system = monoclinic
DOS at the Fermi energy = 3.224 states/eV/cell
offset from the most stable computed form = 0 meV per atom

Cell lengths 7.536, 5.575, 8.697 Å; angles 90.00, 107.28, 90.00 degrees
Element x y z (fractional)
1 Rb 0.133 0.000 0.177
2 Rb 0.867 0.500 0.823
3 Na 0.312 0.499 0.697
4 Na 0.688 0.999 0.303
5 Sn 0.075 0.999 0.599
6 Sn 0.438 0.999 0.913
7 Sn 0.472 0.999 0.578
8 Sn 0.528 0.499 0.422
9 Sn 0.562 0.499 0.087
10 Sn 0.925 0.499 0.401

Entry 15:
The following is a GGA-PBE calculation of a relaxed KY crystal, from the Alexandria database.

Computed properties:
M_tot = 0.00 μB/f.u.
crystal system = cubic
E = -2.790 eV/atom
DOS at the Fermi energy = 16.129 states/eV/cell

Cell lengths 10.389, 10.389, 10.389 Å; angles 109.47, 109.47, 109.47 degrees
Element x y z (fractional)
1 K 0.000 0.000 0.585
2 K 0.000 0.585 0.000
3 K 0.415 0.415 0.415
4 K 0.585 0.000 0.000
5 Y 0.000 0.000 0.190
6 Y 0.000 0.190 0.000
7 Y 0.190 0.000 0.000
8 Y 0.810 0.810 0.810

Entry 16:
The following is a GGA-PBE calculation of a relaxed SnHg2Te crystal, from the Alexandria database.

Computed properties:
M_tot = 0.00 μB/f.u.
crystal system = monoclinic
DOS at the Fermi energy = 1.159 states/eV/cell
offset from the most stable computed form = 0 meV per atom

Cell lengths 4.563, 4.525, 12.112 Å; angles 90.00, 100.13, 90.00 degrees
Element x y z (fractional)
1 Sn 0.187 0.250 0.368
2 Sn 0.813 0.750 0.632
3 Hg 0.075 0.750 0.132
4 Hg 0.436 0.750 0.896
5 Hg 0.564 0.250 0.104
6 Hg 0.925 0.250 0.868
7 Te 0.305 0.250 0.617
8 Te 0.695 0.750 0.383

Entry 17:
The following is a GGA-PBE calculation of a relaxed BaPRu crystal, from the Alexandria database.

Computed properties:
M_tot = 0.00 μB/f.u.
crystal system = tetragonal
E = -6.391 eV/atom
DOS at the Fermi energy = 3.696 states/eV/cell

Cell lengths 4.081, 4.081, 9.874 Å; angles 90.00, 90.00, 90.00 degrees
Element x y z (fractional)
1 Ba 0.250 0.250 0.210
2 Ba 0.750 0.750 0.790
3 P 0.250 0.250 0.618
4 P 0.750 0.750 0.382
5 Ru 0.250 0.750 0.500
6 Ru 0.750 0.250 0.500

Entry 18:
The following is a GGA-PBE calculation of a relaxed ZrInRe crystal, from the Alexandria database.

Computed properties:
M_tot = 0.00 μB/f.u.
crystal system = cubic
DOS at the Fermi energy = 2.625 states/eV/cell
offset from the most stable computed form = 576 meV per atom

Cell lengths 4.586, 4.586, 4.586 Å; angles 60.00, 60.00, 60.00 degrees
Element x y z (fractional)
1 Zr 0.000 0.000 0.000
2 In 0.500 0.500 0.500
3 Re 0.750 0.750 0.750

Entry 19:
The following is a GGA-PBE calculation of a relaxed BaAg2IrF8 crystal, from the Alexandria database.

Computed properties:
M_tot = 1.06 μB/f.u.
crystal system = monoclinic
E = -4.538 eV/atom
DOS at the Fermi energy = 8.064 states/eV/cell

Cell lengths 4.554, 7.776, 5.655 Å; angles 90.00, 95.98, 90.00 degrees
Element x y z (fractional)
1 Ba 0.000 0.000 0.000
2 Ag 0.500 0.253 0.500
3 Ag 0.500 0.747 0.500
4 Ir 0.000 0.500 0.000
5 F 0.108 0.309 0.791
6 F 0.108 0.691 0.791
7 F 0.365 0.500 0.218
8 F 0.482 0.000 0.744
9 F 0.518 0.000 0.256
10 F 0.635 0.500 0.782
11 F 0.892 0.309 0.209
12 F 0.892 0.691 0.209

Entry 20:
The following is a GGA-PBE calculation of a relaxed PmPtW crystal, from the Alexandria database.

Computed properties:
M_tot = 0.00 μB/f.u.
crystal system = orthorhombic
E = -7.844 eV/atom
DOS at the Fermi energy = 3.716 states/eV/cell

Cell lengths 3.003, 3.003, 13.061 Å; angles 90.00, 90.00, 90.18 degrees
Element x y z (fractional)
1 Pm 0.000 0.000 0.173
2 Pm 0.000 0.000 0.827
3 Pt 0.000 0.000 0.500
4 Pt 0.500 0.500 0.000
5 W 0.500 0.500 0.358
6 W 0.500 0.500 0.642

Entry 21:
The following is a GGA-PBE calculation of a relaxed YSiTe2 crystal, from the Alexandria database.

Computed properties:
M_tot = 0.00 μB/f.u.
crystal system = trigonal
E = -4.827 eV/atom
DOS at the Fermi energy = 1.613 states/eV/cell

Cell lengths 9.518, 9.518, 9.518 Å; angles 25.73, 25.73, 25.73 degrees
Element x y z (fractional)
1 Y 0.000 0.000 0.000
2 Si 0.500 0.500 0.500
3 Te 0.400 0.400 0.400
4 Te 0.600 0.600 0.600

Entry 22:
The following is a GGA-PBE calculation of a relaxed LiLaSi2 crystal, from the Alexandria database.

Computed properties:
M_tot = 0.00 μB/f.u.
crystal system = tetragonal
DOS at the Fermi energy = 1.523 states/eV/cell
offset from the most stable computed form = 340 meV per atom

Cell lengths 4.330, 4.330, 4.395 Å; angles 90.00, 90.00, 90.00 degrees
Element x y z (fractional)
1 Li 0.000 0.000 0.000
2 La 0.500 0.500 0.000
3 Si 0.000 0.500 0.500
4 Si 0.500 0.000 0.500

Entry 23:
The following is a GGA-PBE calculation of a relaxed Cs3RuC crystal, from the Alexandria database.

Computed properties:
M_tot = 2.93 μB/f.u.
crystal system = cubic
E = -2.459 eV/atom
DOS at the Fermi energy = 2.312 states/eV/cell

Cell lengths 5.919, 5.919, 5.919 Å; angles 90.00, 90.00, 90.00 degrees
Element x y z (fractional)
1 Cs 0.000 0.000 0.500
2 Cs 0.000 0.500 0.000
3 Cs 0.500 0.000 0.000
4 Ru 0.000 0.000 0.000
5 C 0.500 0.500 0.500

Entry 24:
The following is a GGA-PBE calculation of a relaxed Cs3SnI6 crystal, from the Alexandria database.

Computed properties:
M_tot = 0.00 μB/f.u.
crystal system = monoclinic
E = -2.656 eV/atom
DOS at the Fermi energy = 13.120 states/eV/cell

Cell lengths 8.981, 9.602, 15.674 Å; angles 90.00, 124.61, 90.00 degrees
Element x y z (fractional)
1 Cs 0.000 0.000 0.000
2 Cs 0.000 0.500 0.500
3 Cs 0.219 0.080 0.750
4 Cs 0.219 0.420 0.250
5 Cs 0.781 0.580 0.750
6 Cs 0.781 0.920 0.250
7 Sn 0.500 0.000 0.500
8 Sn 0.500 0.500 0.000
9 I 0.171 0.170 0.448
10 I 0.171 0.330 0.948
11 I 0.274 0.732 0.434
12 I 0.274 0.768 0.934
13 I 0.398 0.042 0.280
14 I 0.398 0.458 0.780
15 I 0.602 0.542 0.220
16 I 0.602 0.958 0.720
17 I 0.726 0.232 0.066
18 I 0.726 0.268 0.566
19 I 0.829 0.670 0.052
20 I 0.829 0.830 0.552